1.
CdHgW2 | PBE-GGA | optimized geometry

Properties
- Density of states at the Fermi level: 3.6 states/eV per cell
- Energy above the lowest structure with this stoichiometry: 0.0000 eV/atom
- Formation energy: 9.93 kcal/mol of atoms

abc: 3.2177 4.7401 9.9413
angles: 90.00 90.00 90.00
Closest atoms and distances in Å follow each position.
Space group Cmm2 (No. 35)
Symmetry-distinct sites (fractional):
Cd 0.0000 0.0000 0.0000  4 Cd 2.86, 2 W 2.98
Hg 0.0000 0.5000 0.7151  4 Hg 2.86, 2 W 3.01
W 0.0000 0.0000 0.4587  6 W 2.61-2.86
W 0.0000 0.5000 0.2518  6 W 2.61-2.86

2.
KTmVBr6 | PBE-GGA | optimized geometry

Properties
- Energy relative to the elements, uncorrected: -13.439 eV/f.u.

abc: 6.9849 6.9849 14.9215
angles: 90.00 90.00 120.00
Closest atoms and distances in Å follow each position.
Space group P-31c (No. 163)
Symmetry-distinct sites (fractional):
K 0.0000 0.0000 0.0000  6 Br 3.35
Tm 0.3333 0.6667 0.2500  6 Br 2.78
V 0.3333 0.6667 0.7500  6 Br 2.66
Br 0.0133 0.3724 0.6455  1 V 2.66, 1 Tm 2.78

3.
Sm2ErCo2 | PBE-GGA | optimized geometry

Properties
- Density of states at the Fermi level: 19.6 states/eV per cell
- Energy above the lowest structure with this stoichiometry: 0.0000 eV/atom
- Formation energy: -2.35 kcal/mol of atoms

abc: 12.4802 3.8516 10.9649
angles: 90.00 120.25 90.00
Closest atoms and distances in Å follow each position.
Space group C2/m (No. 12)
Symmetry-distinct sites (fractional):
Sm 0.0325 0.0000 0.1934  6 Co 2.96-3.05
Sm 0.1645 0.0000 0.5743  4 Co 2.76-3.03
Er 0.2175 0.5000 0.8636  4 Co 2.71-2.93
Co 0.0063 0.5000 0.3922  1 Co 2.45
Co 0.1053 0.5000 0.0428  1 Co 2.30

4.
Th8SbAs6 | PBE-GGA | optimized geometry

Properties
- Energy relative to the elements, uncorrected: -14.098 eV/f.u.
- Density of states at the Fermi level: 12.4 states/eV per cell

abc: 10.8383 10.8383 4.2763
angles: 90.00 90.00 120.00
Closest atoms and distances in Å follow each position.
Space group P-3 (No. 147)
Symmetry-distinct sites (fractional):
Th 0.0393 0.7095 0.2563  4 As 2.90-3.04
Th 0.3333 0.6667 0.7472  6 As 3.00
Sb 0.0000 0.0000 0.5000  6 Th 3.54
As 0.1291 0.4848 0.2471  6 Th 2.90-3.04

5.
DySi2Au | PBE-GGA | optimized geometry

Properties
- Energy relative to the elements, uncorrected: -1.257 eV/f.u.
- Density of states at the Fermi level: 3.7 states/eV per cell

abc: 5.0491 8.6237 3.7664
angles: 90.00 90.00 90.00
Closest atoms and distances in Å follow each position.
Space group Cmmm (No. 65)
Symmetry-distinct sites (fractional):
Dy 0.0000 0.0000 0.0000  8 Si 3.13, 4 Au 3.15
Si 0.2500 0.2500 0.5000  2 Au 2.50, 2 Si 2.52
Au 0.0000 0.5000 0.5000  4 Si 2.50

6.
YCd2Hg5 | PBE-GGA | optimized geometry

Properties
- Density of states at the Fermi level: 15.7 states/eV per cell
- Energy above the lowest structure with this stoichiometry: 0.0561 eV/atom
- Formation energy: -2.49 kcal/mol of atoms

abc: 7.8720 7.8720 12.8597
angles: 90.00 90.00 90.00
Closest atoms and distances in Å follow each position.
Space group I4/mcm (No. 140)
Symmetry-distinct sites (fractional):
Y 0.0000 0.0000 0.2500  10 Hg 3.21
Cd 0.1439 0.3561 0.0000  8 Hg 3.02-3.10, 1 Cd 3.20
Hg 0.0000 0.0000 0.0000  4 Cd 3.02, 2 Y 3.21
Hg 0.1516 0.3484 0.3408  3 Cd 3.06-3.10, 4 Hg 3.20-3.38, 2 Y 3.21

7.
Na3ZnAs | PBE-GGA | optimized geometry

Properties
- Density of states at the Fermi level: 0.5 states/eV per cell
- Energy above the lowest structure with this stoichiometry: 0.0000 eV/atom
- Formation energy: -3.84 kcal/mol of atoms

abc: 9.0162 8.1435 8.1100
angles: 90.00 90.00 90.00
Closest atoms and distances in Å follow each position.
Space group Ima2 (No. 46)
Symmetry-distinct sites (fractional):
Na 0.0599 0.2022 0.0000  2 As 2.94-2.98, 1 Zn 3.27
Na 0.2500 0.5852 0.8172  2 As 2.85-2.86, 1 Zn 3.06
Zn 0.2500 0.0076 0.6825  1 As 2.44
As 0.2500 0.5958 0.4655  1 Zn 2.44

8.
ZrSiH2Ru | PBE-GGA | optimized geometry

Properties
- Density of states at the Fermi level: 1.9 states/eV per cell
- Total DFT energy (no corrections): -5.76 eV/atom

abc: 3.6476 3.6476 4.8861
angles: 90.00 90.00 90.00
Closest atoms and distances in Å follow each position.
Space group P4/mmm (No. 123)
Symmetry-distinct sites (fractional):
Zr 0.0000 0.0000 0.0000  4 Ru 2.58
Si 0.5000 0.5000 0.5000  4 H 1.82
H 0.0000 0.5000 0.5000  2 Si 1.82
Ru 0.5000 0.5000 0.0000  2 Si 2.44, 4 Zr 2.58

Number 1: calculated density 14.91 g cm⁻³, spin magnetization 0.0000 μB/atom. Number 2: calculated density 3.89 g cm⁻³, spin magnetization 0.3333 μB/atom. Number 3: calculated density 8.55 g cm⁻³, spin magnetization 0.0002 μB/atom. Number 4: calculated density 9.27 g cm⁻³, spin magnetization 0.0000 μB/atom. Number 5: calculated density 8.42 g cm⁻³, spin magnetization 0.0000 μB/atom. Number 6: calculated density 10.97 g cm⁻³, spin magnetization 0.0000 μB/atom. Number 7: calculated density 2.33 g cm⁻³, spin magnetization 0.0000 μB/atom. Number 8: calculated density 5.68 g cm⁻³, spin magnetization 0.0000 μB/atom.